No. 1
This record from OQMD describes crystalline Hf2Sc4Au3C3 at its relaxed geometry. The functional is PBE-GGA.

It has space group C2/c (No. 15), with a = 10.026 Å, b = 5.796 Å, c = 14.286 Å, α = 90.00°, β = 103.62° and γ = 90.00°. The asymmetric unit holds Hf at (0.057, 0.087, 0.412), Sc at (0.114, 0.422, 0.592), Sc at (0.216, 0.414, 0.909), Au at (0.000, 0.410, 0.250), Au at (0.163, 0.079, 0.750), C at (0.079, 0.237, 0.000) and C at (0.250, 0.250, 0.500).

No. 2
This record from OQMD describes crystalline Cu5Ag2 at its relaxed geometry. The functional is PBE-GGA.

It has space group C2/m (No. 12), with a = 8.556 Å, b = 3.746 Å, c = 6.040 Å, α = 90.00°, β = 97.23° and γ = 90.00°. The asymmetric unit holds Cu at (0.000, 0.000, 0.000), Cu at (0.072, 0.500, 0.737), Cu at (0.218, 0.500, 0.128) and Ag at (0.141, 0.000, 0.417).

The energy of formation from the pure elements is 79 meV/atom. Its energy above the most stable polymorph in this dataset is 0.19 eV/f.u.

No. 3
This record from OQMD describes crystalline Gd3Zn4 at its relaxed geometry. The functional is PBE-GGA.

It has space group P6_3/m (No. 176), with a = 8.3802 Å, b = 8.3802 Å, c = 5.1586 Å, α = 90.00°, β = 90.00° and γ = 120.00°. The asymmetric unit holds Gd at (0.0824, 0.2847, 0.2500), Zn at (0.1212, 0.4971, 0.7500) and Zn at (0.3333, 0.6667, 0.2500).

The energy of formation from the pure elements is -87 meV/atom. Its energy above the most stable polymorph in this dataset is 0.77 eV/f.u.

No. 4
This record from OQMD describes crystalline K4TbTm at its relaxed geometry. The functional is PBE-GGA.

It has space group Amm2 (No. 38), with a = 7.308 Å, b = 3.900 Å, c = 21.132 Å, α = 90.00°, β = 90.00° and γ = 90.00°. The asymmetric unit holds K at (0.000, 0.000, 0.000), K at (0.000, 0.000, 0.328), K at (0.000, 0.000, 0.657), K at (0.500, 0.000, 0.830), Tb at (0.500, 0.000, 0.143) and Tm at (0.500, 0.000, 0.515).

No. 5
This record from OQMD describes crystalline MoIBr2Cl2 at its relaxed geometry. The functional is PBE-GGA.

It has space group P-1 (No. 2), with a = 6.460 Å, b = 7.033 Å, c = 9.879 Å, α = 107.06°, β = 92.04° and γ = 114.13°. The asymmetric unit holds Mo at (0.111, 0.224, 0.222), I at (0.263, 0.194, 0.952), Br at (0.071, 0.810, 0.569), Br at (0.446, 0.575, 0.337), Cl at (0.106, 0.621, 0.849) and Cl at (0.298, 0.015, 0.249).

Its energy above the most stable polymorph in this dataset is 0.08 eV/f.u.

No. 6
This record from OQMD describes crystalline HfBNO at its relaxed geometry. The functional is PBE-GGA.

It has space group Pmc2_1 (No. 26), with a = 2.869 Å, b = 6.077 Å, c = 4.514 Å, α = 90.00°, β = 90.00° and γ = 90.00°. The asymmetric unit holds Hf at (0.000, 0.146, 0.000), B at (0.500, 0.394, 0.563), N at (0.500, 0.405, 0.890) and O at (0.000, 0.244, 0.477).

Its energy above the most stable polymorph in this dataset is 0.71 eV/f.u.

No. 7
This record from OQMD describes crystalline LuTa2Tl at its relaxed geometry. The functional is PBE-GGA.

It has space group F-43m (No. 216), with a = 6.932 Å, b = 6.932 Å, c = 6.932 Å, α = 90.00°, β = 90.00° and γ = 90.00°. The asymmetric unit holds Lu at (0.000, 0.000, 0.000), Ta at (0.000, 0.000, 0.500), Ta at (0.250, 0.250, 0.250) and Tl at (0.250, 0.250, 0.750).

No. 8
This record from OQMD describes crystalline NaMgTaPt at its relaxed geometry. The functional is PBE-GGA.

It has space group F-43m (No. 216), with a = 6.553 Å, b = 6.553 Å, c = 6.553 Å, α = 90.00°, β = 90.00° and γ = 90.00°. The asymmetric unit holds Na at (0.000, 0.000, 0.000), Mg at (0.250, 0.250, 0.750), Ta at (0.000, 0.000, 0.500) and Pt at (0.250, 0.250, 0.250).

Its energy above the most stable polymorph in this dataset is 0.65 eV/f.u.

No. 9
This record from OQMD describes crystalline SrGdPO at its relaxed geometry. The functional is PBE-GGA.

It has space group P4/nmm (No. 129, origin choice 2), with a = 4.370 Å, b = 4.370 Å, c = 9.168 Å, α = 90.00°, β = 90.00° and γ = 90.00°. The asymmetric unit holds Sr at (0.250, 0.750, 0.000), Gd at (0.250, 0.250, 0.406), P at (0.250, 0.250, 0.787) and O at (0.250, 0.750, 0.500).

Its energy above the most stable polymorph in this dataset is 1.40 eV/f.u.

No. 10
This record from OQMD describes crystalline FeGePdAu at its relaxed geometry. The functional is PBE-GGA.

It has space group F-43m (No. 216), with a = 6.294 Å, b = 6.294 Å, c = 6.294 Å, α = 90.00°, β = 90.00° and γ = 90.00°. The asymmetric unit holds Fe at (0.000, 0.000, 0.000), Ge at (0.250, 0.250, 0.750), Pd at (0.000, 0.000, 0.500) and Au at (0.250, 0.250, 0.250).

Its energy above the most stable polymorph in this dataset is 0.00 eV/f.u.

No. 11
This record from OQMD describes crystalline Zr4InSbC2 at its relaxed geometry. The functional is PBE-GGA.

It has space group P-6m2 (No. 187), with a = 3.4038 Å, b = 3.4038 Å, c = 14.6371 Å, α = 90.00°, β = 90.00° and γ = 120.00°. The asymmetric unit holds Zr at (0.0000, 0.0000, 0.1602), Zr at (0.6667, 0.3333, 0.3292), In at (0.0000, 0.0000, 0.5000), Sb at (0.6667, 0.3333, 0.0000) and C at (0.3333, 0.6667, 0.2459).

No. 12
This record from OQMD describes crystalline Y2Cu3W4C3 at its relaxed geometry. The functional is PBE-GGA.

It has space group C2/c (No. 15), with a = 9.448 Å, b = 5.452 Å, c = 13.775 Å, α = 90.00°, β = 103.91° and γ = 90.00°. The asymmetric unit holds Y at (0.038, 0.082, 0.376), Cu at (0.000, 0.422, 0.750), Cu at (0.246, 0.159, 0.753), W at (0.111, 0.401, 0.581), W at (0.229, 0.423, 0.919), C at (0.086, 0.259, 0.000) and C at (0.250, 0.250, 0.500).

Number 1: uncorrected energy -7.54 eV per atom, calculated volume 806.9 Å³/cell. Number 2: uncorrected energy -3.38 eV per atom, calculated volume 192.0 Å³/cell. Number 3: uncorrected energy -2.80 eV per atom, calculated volume 313.8 Å³/cell. Number 4: uncorrected energy -1.79 eV per atom, calculated volume 602.2 Å³/cell. Number 5: uncorrected energy -3.74 eV per atom, calculated volume 385.3 Å³/cell. Number 6: uncorrected energy -8.74 eV per atom, calculated volume 78.7 Å³/cell. Number 7: uncorrected energy -7.30 eV per atom, calculated volume 333.1 Å³/cell. Number 8: uncorrected energy -5.05 eV per atom, calculated volume 281.5 Å³/cell. Number 9: uncorrected energy -5.87 eV per atom, calculated volume 175.1 Å³/cell. Number 10: uncorrected energy -5.35 eV per atom, calculated volume 249.4 Å³/cell. Number 11: uncorrected energy -8.17 eV per atom, calculated volume 146.9 Å³/cell. Number 12: uncorrected energy -8.76 eV per atom, calculated volume 688.8 Å³/cell.